# 1
## Ca2Tb4Nd5 (PBE-GGA)

Data for Ca2Tb4Nd5 after structural relaxation.

a b c (Å): 11.2989 11.2989 11.2989
angles (deg): 162.10 117.12 65.96
Last column: nearest neighbours and their distance in Å.
Positions (direct):
Ca 0.1936 0.1936 0.0000  6 Nd 3.48-3.86, 2 Ca 3.52
Ca 0.8064 0.8064 0.0000  6 Nd 3.48-3.86, 2 Ca 3.52
Tb 0.2731 0.0000 0.2731  4 Nd 3.38-3.67, 6 Tb 3.52-3.60
Tb 0.4129 0.4129 0.0000  7 Tb 3.30-3.60, 4 Nd 3.46
Tb 0.5871 0.5871 0.0000  7 Tb 3.30-3.60, 4 Nd 3.46
Tb 0.7269 0.0000 0.7269  4 Nd 3.38-3.67, 6 Tb 3.52-3.60
Nd 0.0000 0.5000 0.5000  2 Nd 3.52, 4 Tb 3.67
Nd 0.1162 0.8221 0.2941  3 Tb 3.38-3.46, 4 Nd 3.41-3.52, 1 Ca 3.48
Nd 0.4720 0.1779 0.2941  3 Tb 3.38-3.46, 4 Nd 3.41-3.52, 1 Ca 3.48
Nd 0.5280 0.8221 0.7059  3 Tb 3.38-3.46, 4 Nd 3.41-3.52, 1 Ca 3.48
Nd 0.8838 0.1779 0.7059  3 Tb 3.38-3.46, 4 Nd 3.41-3.52, 1 Ca 3.48

Computed properties:
Energy of formation: 0.1773 eV/atom
Final energy: -4.038 eV per atom
Size of the total moment: 0.000 Bohr magnetons per cell
Volume: 392.79 Å³ per cell

---

# 2
## Ca2TbNd2 (PBE-GGA)

Data for Ca2TbNd2 after structural relaxation.

a b c (Å): 3.6978 3.6978 15.5237
angles (deg): 90.00 90.00 120.00
Last column: nearest neighbours and their distance in Å.
Positions (direct):
Ca 0.3333 0.6667 0.1066  9 Ca 3.70-3.94, 3 Nd 3.87
Ca 0.6667 0.3333 0.8934  9 Ca 3.70-3.94, 3 Nd 3.87
Tb 0.0000 0.0000 0.5000  6 Nd 3.58, 6 Tb 3.70
Nd 0.3333 0.6667 0.6852  3 Tb 3.58, 6 Nd 3.70, 3 Ca 3.87
Nd 0.6667 0.3333 0.3148  3 Tb 3.58, 6 Nd 3.70, 3 Ca 3.87

Computed properties:
Energy of formation: 0.0344 eV/atom
Final energy: -3.599 eV per atom
Size of the total moment: 0.000 Bohr magnetons per cell
Distance to the lowest polymorph of the same formula: 0.0 kJ/mol of atoms
Volume: 183.84 Å³ per cell

---

# 3
## Ca2Tb5Nd12 (PBE-GGA)

Data for Ca2Tb5Nd12 after structural relaxation.

a b c (Å): 9.7235 9.7235 7.9812
angles (deg): 90.25 90.25 63.85
Last column: nearest neighbours and their distance in Å.
Positions (direct):
Ca 0.2099 0.7901 0.0000  8 Nd 3.64-3.92, 2 Tb 3.93
Ca 0.7901 0.2099 0.0000  8 Nd 3.64-3.92, 2 Tb 3.93
Tb 0.0000 0.0000 0.5000  4 Nd 3.37
Tb 0.2472 0.2472 0.5003  6 Nd 3.29-3.65
Tb 0.3516 0.3516 0.0921  9 Nd 3.45-3.71, 1 Tb 3.69
Tb 0.6484 0.6484 0.9079  9 Nd 3.45-3.71, 1 Tb 3.69
Tb 0.7528 0.7528 0.4997  6 Nd 3.29-3.65
Nd 0.0389 0.5664 0.7956  4 Tb 3.48-3.70, 6 Nd 3.56-3.72, 1 Ca 3.65
Nd 0.1620 0.6266 0.3919  4 Tb 3.37-3.71, 5 Nd 3.54-3.65, 1 Ca 3.64
Nd 0.1690 0.1690 0.8792  2 Tb 3.29-3.45, 6 Nd 3.56-3.65, 2 Ca 3.66
Nd 0.3734 0.8380 0.6081  4 Tb 3.37-3.71, 5 Nd 3.54-3.65, 1 Ca 3.64
Nd 0.4336 0.9611 0.2044  4 Tb 3.48-3.70, 6 Nd 3.56-3.72, 1 Ca 3.65
Nd 0.4466 0.4466 0.7006  3 Tb 3.50-3.71, 7 Nd 3.54-3.69, 2 Ca 3.92
Nd 0.5534 0.5534 0.2994  3 Tb 3.50-3.71, 7 Nd 3.54-3.69, 2 Ca 3.92
Nd 0.5664 0.0389 0.7956  4 Tb 3.48-3.70, 6 Nd 3.56-3.72, 1 Ca 3.65
Nd 0.6266 0.1620 0.3919  4 Tb 3.37-3.71, 5 Nd 3.54-3.65, 1 Ca 3.64
Nd 0.8310 0.8310 0.1208  2 Tb 3.29-3.45, 6 Nd 3.56-3.65, 2 Ca 3.66
Nd 0.8380 0.3734 0.6081  4 Tb 3.37-3.71, 5 Nd 3.54-3.65, 1 Ca 3.64
Nd 0.9611 0.4336 0.2044  4 Tb 3.48-3.70, 6 Nd 3.56-3.72, 1 Ca 3.65

Computed properties:
Energy of formation: 0.1313 eV/atom
Final energy: -4.309 eV per atom
Size of the total moment: 0.000 Bohr magnetons per cell
Volume: 677.37 Å³ per cell

---

# 4
## CaTb6Nd12 (PBE-GGA)

Data for CaTb6Nd12 after structural relaxation.

a b c (Å): 8.9071 8.9071 8.9071
angles (deg): 98.39 98.39 98.39
Last column: nearest neighbours and their distance in Å.
Positions (direct):
Ca 0.0000 0.0000 0.0000  6 Tb 3.49
Tb 0.0972 0.0972 0.6567  1 Tb 3.18, 1 Ca 3.49
Tb 0.0972 0.6567 0.0972  1 Tb 3.18, 1 Ca 3.49
Tb 0.3433 0.9028 0.9028  1 Tb 3.18, 1 Ca 3.49
Tb 0.6567 0.0972 0.0972  1 Tb 3.18, 1 Ca 3.49
Tb 0.9028 0.3433 0.9028  1 Tb 3.18, 1 Ca 3.49
Tb 0.9028 0.9028 0.3433  1 Tb 3.18, 1 Ca 3.49
Nd 0.0858 0.3577 0.3577  6 Nd 3.41-3.67, 2 Tb 3.78
Nd 0.2386 0.5000 0.7614  6 Nd 3.41-3.62, 4 Tb 3.56-3.59
Nd 0.2386 0.7614 0.5000  6 Nd 3.41-3.62, 4 Tb 3.56-3.59
Nd 0.3577 0.0858 0.3577  6 Nd 3.41-3.67, 2 Tb 3.78
Nd 0.3577 0.3577 0.0858  6 Nd 3.41-3.67, 2 Tb 3.78
Nd 0.5000 0.2386 0.7614  6 Nd 3.41-3.62, 4 Tb 3.56-3.59
Nd 0.5000 0.7614 0.2386  6 Nd 3.41-3.62, 4 Tb 3.56-3.59
Nd 0.6423 0.6423 0.9142  6 Nd 3.41-3.67, 2 Tb 3.78
Nd 0.6423 0.9142 0.6423  6 Nd 3.41-3.67, 2 Tb 3.78
Nd 0.7614 0.2386 0.5000  6 Nd 3.41-3.62, 4 Tb 3.56-3.59
Nd 0.7614 0.5000 0.2386  6 Nd 3.41-3.62, 4 Tb 3.56-3.59
Nd 0.9142 0.6423 0.6423  6 Nd 3.41-3.67, 2 Tb 3.78

Computed properties:
Energy of formation: 0.1830 eV/atom
Final energy: -4.396 eV per atom
Size of the total moment: 0.000 Bohr magnetons per cell
Volume: 681.42 Å³ per cell

---

# 5
## CaTbNd2 (PBE-GGA)

Data for CaTbNd2 after structural relaxation.

a b c (Å): 5.2591 5.2591 5.0847
angles (deg): 90.00 90.00 90.00
Last column: nearest neighbours and their distance in Å.
Positions (direct):
Ca 0.0000 0.0000 0.0000  8 Nd 3.66, 4 Tb 3.72
Tb 0.5000 0.5000 0.0000  8 Nd 3.66, 4 Ca 3.72
Nd 0.0000 0.5000 0.5000  4 Tb 3.66, 4 Ca 3.66, 4 Nd 3.72
Nd 0.5000 0.0000 0.5000  4 Tb 3.66, 4 Ca 3.66, 4 Nd 3.72

Computed properties:
Energy of formation: 0.0915 eV/atom
Final energy: -3.950 eV per atom
Size of the total moment: 0.000 Bohr magnetons per cell
Distance to the lowest polymorph of the same formula: 5.5 kJ/mol of atoms
Volume: 140.63 Å³ per cell

---

# 6
## CaTbNd2 (PBE-GGA)

Data for CaTbNd2 after structural relaxation.

a b c (Å): 12.3977 12.3977 12.3977
angles (deg): 17.01 17.01 17.01
Last column: nearest neighbours and their distance in Å.
Positions (direct):
Ca 0.0000 0.0000 0.0000  6 Ca 3.67, 6 Nd 3.85-3.86
Tb 0.1663 0.1663 0.1663  6 Nd 3.57-3.58, 6 Tb 3.67
Nd 0.5785 0.5785 0.5785  3 Tb 3.58, 6 Nd 3.67, 3 Ca 3.86
Nd 0.7545 0.7545 0.7545  3 Tb 3.57, 6 Nd 3.67, 3 Ca 3.85

Computed properties:
Energy of formation: 0.0359 eV/atom
Final energy: -4.006 eV per atom
Size of the total moment: 0.000 Bohr magnetons per cell
Distance to the lowest polymorph of the same formula: 0.2 kJ/mol of atoms
Volume: 142.33 Å³ per cell

---

# 7
## CaTb7Nd12 (PBE-GGA)

Data for CaTb7Nd12 after structural relaxation.

a b c (Å): 8.9029 8.9029 8.9029
angles (deg): 87.26 87.26 87.26
Last column: nearest neighbours and their distance in Å.
Positions (direct):
Ca 0.0000 0.0000 0.0000  6 Nd 3.58, 6 Tb 3.93
Tb 0.0720 0.3957 0.1521  3 Tb 3.47-3.59, 6 Nd 3.57-3.87
Tb 0.1521 0.0720 0.3957  3 Tb 3.47-3.59, 6 Nd 3.57-3.87
Tb 0.3957 0.1521 0.0720  3 Tb 3.47-3.59, 6 Nd 3.57-3.87
Tb 0.5000 0.5000 0.5000  6 Nd 3.38
Tb 0.6043 0.8479 0.9280  3 Tb 3.47-3.59, 6 Nd 3.57-3.87
Tb 0.8479 0.9280 0.6043  3 Tb 3.47-3.59, 6 Nd 3.57-3.87
Tb 0.9280 0.6043 0.8479  3 Tb 3.47-3.59, 6 Nd 3.57-3.87
Nd 0.1352 0.6207 0.4894  4 Nd 3.26-3.38, 2 Tb 3.38-3.61
Nd 0.1481 0.2790 0.7385  3 Nd 3.26-3.38, 2 Tb 3.57-3.64, 1 Ca 3.58
Nd 0.2615 0.8519 0.7210  3 Nd 3.26-3.38, 2 Tb 3.57-3.64, 1 Ca 3.58
Nd 0.2790 0.7385 0.1481  3 Nd 3.26-3.38, 2 Tb 3.57-3.64, 1 Ca 3.58
Nd 0.3793 0.5106 0.8648  4 Nd 3.26-3.38, 2 Tb 3.38-3.61
Nd 0.4894 0.1352 0.6207  4 Nd 3.26-3.38, 2 Tb 3.38-3.61
Nd 0.5106 0.8648 0.3793  4 Nd 3.26-3.38, 2 Tb 3.38-3.61
Nd 0.6207 0.4894 0.1352  4 Nd 3.26-3.38, 2 Tb 3.38-3.61
Nd 0.7210 0.2615 0.8519  3 Nd 3.26-3.38, 2 Tb 3.57-3.64, 1 Ca 3.58
Nd 0.7385 0.1481 0.2790  3 Nd 3.26-3.38, 2 Tb 3.57-3.64, 1 Ca 3.58
Nd 0.8519 0.7210 0.2615  3 Nd 3.26-3.38, 2 Tb 3.57-3.64, 1 Ca 3.58
Nd 0.8648 0.3793 0.5106  4 Nd 3.26-3.38, 2 Tb 3.38-3.61

Computed properties:
Energy of formation: 0.2193 eV/atom
Final energy: -4.362 eV per atom
Size of the total moment: 0.000 Bohr magnetons per cell
Distance to the lowest polymorph of the same formula: 0.0 kJ/mol of atoms
Volume: 703.31 Å³ per cell

---

# 8
## CaTb7Nd4 (PBE-GGA)

Data for CaTb7Nd4 after structural relaxation.

a b c (Å): 6.5984 6.9487 9.1657
angles (deg): 86.68 77.46 82.92
Last column: nearest neighbours and their distance in Å.
Positions (direct):
Ca 0.0000 0.0000 0.0000  4 Tb 3.47-3.57, 2 Nd 3.49
Tb 0.0000 0.5000 0.0000  4 Nd 3.39-3.69, 2 Ca 3.47, 4 Tb 3.56-3.78
Tb 0.1947 0.0980 0.3833  4 Nd 3.34-3.58, 5 Tb 3.34-3.66
Tb 0.3153 0.6978 0.6398  5 Tb 3.42-3.78, 4 Nd 3.48-3.66
Tb 0.4876 0.2543 0.0497  3 Nd 3.40-3.79, 5 Tb 3.42-3.68, 1 Ca 3.57
Tb 0.5124 0.7457 0.9503  3 Nd 3.40-3.79, 5 Tb 3.42-3.68, 1 Ca 3.57
Tb 0.6847 0.3022 0.3602  5 Tb 3.42-3.78, 4 Nd 3.48-3.66
Tb 0.8053 0.9020 0.6167  4 Nd 3.34-3.58, 5 Tb 3.34-3.66
Nd 0.1559 0.6043 0.3128  7 Tb 3.39-3.79, 2 Nd 3.56-3.59
Nd 0.3637 0.1994 0.7143  7 Tb 3.34-3.69, 1 Ca 3.49, 2 Nd 3.56-3.59
Nd 0.6363 0.8006 0.2857  7 Tb 3.34-3.69, 1 Ca 3.49, 2 Nd 3.56-3.59
Nd 0.8441 0.3957 0.6872  7 Tb 3.39-3.79, 2 Nd 3.56-3.59

Computed properties:
Energy of formation: 0.1009 eV/atom
Final energy: -4.356 eV per atom
Size of the total moment: 0.000 Bohr magnetons per cell
Volume: 406.89 Å³ per cell

---

# 9
## CaTbNd6 (PBE-GGA)

Data for CaTbNd6 after structural relaxation.

a b c (Å): 5.2037 5.2037 10.4276
angles (deg): 90.00 90.00 90.00
Last column: nearest neighbours and their distance in Å.
Positions (direct):
Ca 0.0000 0.0000 0.0000  12 Nd 3.68-3.73
Tb 0.0000 0.0000 0.5000  12 Nd 3.63-3.68
Nd 0.0000 0.5000 0.2567  2 Tb 3.63, 8 Nd 3.63-3.73, 2 Ca 3.73
Nd 0.0000 0.5000 0.7433  2 Tb 3.63, 8 Nd 3.63-3.73, 2 Ca 3.73
Nd 0.5000 0.0000 0.2567  2 Tb 3.63, 8 Nd 3.63-3.73, 2 Ca 3.73
Nd 0.5000 0.0000 0.7433  2 Tb 3.63, 8 Nd 3.63-3.73, 2 Ca 3.73
Nd 0.5000 0.5000 0.0000  4 Ca 3.68, 8 Nd 3.73
Nd 0.5000 0.5000 0.5000  8 Nd 3.63, 4 Tb 3.68

Computed properties:
Energy of formation: 0.0394 eV/atom
Final energy: -4.365 eV per atom
Size of the total moment: 0.000 Bohr magnetons per cell
Volume: 282.37 Å³ per cell

---

# 10
## CaTb3Nd3 (PBE-GGA)

Data for CaTb3Nd3 after structural relaxation.

a b c (Å): 8.7779 8.7794 9.1113
angles (deg): 90.02 118.78 119.99
Last column: nearest neighbours and their distance in Å.
Positions (direct):
Ca 0.1898 0.3451 0.0352  6 Tb 3.60-3.88, 6 Nd 3.77-3.92
Ca 0.8102 0.6549 0.9648  6 Tb 3.60-3.88, 6 Nd 3.77-3.92
Tb 0.1519 0.7189 0.8234  4 Tb 3.33-3.45, 4 Nd 3.38-3.66, 1 Ca 3.61
Tb 0.3913 0.1724 0.8244  4 Tb 3.32-3.45, 4 Nd 3.38-3.66, 1 Ca 3.60
Tb 0.3941 0.0666 0.1756  4 Tb 3.32-3.45, 4 Nd 3.38-3.66, 1 Ca 3.61
Tb 0.6059 0.9334 0.8244  4 Tb 3.32-3.45, 4 Nd 3.38-3.66, 1 Ca 3.61
Tb 0.6087 0.8276 0.1756  4 Tb 3.32-3.45, 4 Nd 3.38-3.66, 1 Ca 3.60
Tb 0.8481 0.2811 0.1766  4 Tb 3.33-3.45, 4 Nd 3.38-3.66, 1 Ca 3.61
Nd 0.1368 0.0684 0.3655  4 Tb 3.38-3.66, 2 Nd 3.65, 1 Ca 3.77
Nd 0.2039 0.4319 0.6352  4 Tb 3.38-3.66, 2 Nd 3.65, 1 Ca 3.77
Nd 0.2970 0.7286 0.3657  4 Tb 3.38-3.66, 2 Nd 3.65, 1 Ca 3.77
Nd 0.7030 0.2714 0.6343  4 Tb 3.38-3.66, 2 Nd 3.65, 1 Ca 3.77
Nd 0.7961 0.5681 0.3648  4 Tb 3.38-3.66, 2 Nd 3.65, 1 Ca 3.77
Nd 0.8632 0.9316 0.6345  4 Tb 3.38-3.66, 2 Nd 3.65, 1 Ca 3.77

Computed properties:
Energy of formation: 0.2128 eV/atom
Final energy: -4.101 eV per atom
Size of the total moment: 0.000 Bohr magnetons per cell
Volume: 505.47 Å³ per cell

---

# 11
## CaTb5Nd8 (PBE-GGA)

Data for CaTb5Nd8 after structural relaxation.

a b c (Å): 8.6668 8.6668 8.6668
angles (deg): 111.07 111.07 106.32
Last column: nearest neighbours and their distance in Å.
Positions (direct):
Ca 0.0000 0.0000 0.0000  4 Nd 3.33
Tb 0.0272 0.2135 0.5949  8 Nd 3.41-3.67, 2 Tb 3.55
Tb 0.2500 0.7500 0.5000  8 Nd 3.20-3.43
Tb 0.5677 0.9728 0.1863  8 Nd 3.41-3.67, 2 Tb 3.55
Tb 0.6186 0.4323 0.4051  8 Nd 3.41-3.67, 2 Tb 3.55
Tb 0.7865 0.3814 0.8137  8 Nd 3.41-3.67, 2 Tb 3.55
Nd 0.0940 0.6760 0.7638  4 Tb 3.20-3.52, 1 Ca 3.33
Nd 0.2781 0.5240 0.1034  5 Tb 3.43-3.67, 3 Nd 3.66-3.70
Nd 0.3240 0.0878 0.4180  4 Tb 3.20-3.52, 1 Ca 3.33
Nd 0.4206 0.1747 0.8966  5 Tb 3.43-3.67, 3 Nd 3.66-3.70
Nd 0.4760 0.5794 0.7541  5 Tb 3.43-3.67, 3 Nd 3.66-3.70
Nd 0.6698 0.9060 0.5820  4 Tb 3.20-3.52, 1 Ca 3.33
Nd 0.8253 0.7219 0.2459  5 Tb 3.43-3.67, 3 Nd 3.66-3.70
Nd 0.9122 0.3302 0.2362  4 Tb 3.20-3.52, 1 Ca 3.33

Computed properties:
Energy of formation: 0.2352 eV/atom
Final energy: -4.286 eV per atom
Size of the total moment: 0.000 Bohr magnetons per cell
Volume: 500.00 Å³ per cell

---

# 12
## Ca2TbNd6 (PBE-GGA)

Data for Ca2TbNd6 after structural relaxation.

a b c (Å): 10.4188 10.4188 3.4704
angles (deg): 99.48 99.48 62.74
Last column: nearest neighbours and their distance in Å.
Positions (direct):
Ca 0.1588 0.1588 0.1539  2 Ca 3.47, 6 Nd 3.57-3.88
Ca 0.8412 0.8412 0.8461  2 Ca 3.47, 6 Nd 3.57-3.88
Tb 0.5000 0.5000 0.5000  2 Tb 3.47, 8 Nd 3.50-3.62
Nd 0.1538 0.5130 0.3348  6 Nd 3.47-3.73, 1 Tb 3.50, 2 Ca 3.62-3.88
Nd 0.2076 0.7924 0.0000  6 Nd 3.47-3.60, 2 Ca 3.57, 2 Tb 3.62
Nd 0.4870 0.8462 0.6652  6 Nd 3.47-3.73, 1 Tb 3.50, 2 Ca 3.62-3.88
Nd 0.5130 0.1538 0.3348  6 Nd 3.47-3.73, 1 Tb 3.50, 2 Ca 3.62-3.88
Nd 0.7924 0.2076 0.0000  6 Nd 3.47-3.60, 2 Ca 3.57, 2 Tb 3.62
Nd 0.8462 0.4870 0.6652  6 Nd 3.47-3.73, 1 Tb 3.50, 2 Ca 3.62-3.88

Computed properties:
Energy of formation: 0.1813 eV/atom
Final energy: -3.956 eV per atom
Size of the total moment: 0.000 Bohr magnetons per cell
Volume: 328.57 Å³ per cell